(1)
Tm4SnPd: optimized geometry, PBE.

## Properties
* formation enthalpy at 0 K: -0.534 eV per atom
* calculated density: 9.40 g/cm³
* size of the total moment: 0.000 μB/cell

Cell: 8.058 8.058 5.810 Å, 102.29 102.29 113.66°
Fractional positions:
Tm  0.064  0.707  0.929
Tm  0.215  0.364  0.664
Tm  0.293  0.936  0.571
Tm  0.364  0.215  0.164
Tm  0.636  0.785  0.836
Tm  0.707  0.064  0.429
Tm  0.785  0.636  0.336
Tm  0.936  0.293  0.071
Sn  0.375  0.625  0.250
Sn  0.625  0.375  0.750
Pd  0.001  0.999  0.750
Pd  0.999  0.001  0.250


(2)
HfTiBePb2: optimized geometry, PBE.

## Properties
* formation enthalpy at 0 K: 0.657 eV per atom
* calculated density: 10.01 g/cm³
* size of the total moment: 0.000 μB/cell

Cell: 4.874 4.874 4.538 Å, 90.00 90.00 90.00°
Fractional positions:
Hf  0.000  0.000  0.000
Ti  0.500  0.500  0.000
Be  0.500  0.500  0.500
Pb  0.000  0.500  0.500
Pb  0.500  0.000  0.500


(3)
Ca2RuPbO5: optimized geometry, PBE.

## Properties
* formation energy from raw total energies: -1711 meV/atom
* calculated density: 6.03 g/cm³
* size of the total moment: 4.063 μB/cell

Cell: 6.703 6.703 5.741 Å, 90.00 90.00 90.00°
Fractional positions:
Ca  0.178  0.322  0.000
Ca  0.322  0.822  0.000
Ca  0.678  0.178  0.000
Ca  0.822  0.678  0.000
Ru  0.000  0.500  0.500
Ru  0.500  0.000  0.500
Pb  0.000  0.000  0.500
Pb  0.500  0.500  0.500
O  0.000  0.000  0.000
O  0.139  0.639  0.263
O  0.139  0.639  0.737
O  0.361  0.139  0.263
O  0.361  0.139  0.737
O  0.500  0.500  0.000
O  0.639  0.861  0.263
O  0.639  0.861  0.737
O  0.861  0.361  0.263
O  0.861  0.361  0.737


(4)
Sr3PuO6F2: optimized geometry, PBE.

## Properties
* formation energy from raw total energies: -2776 meV/atom
* calculated density: 4.88 g/cm³
* size of the total moment: 0.000 μB/cell

Cell: 7.195 7.195 4.945 Å, 90.19 90.19 58.43°
Fractional positions:
Sr  0.000  0.000  0.000
Sr  0.000  0.500  0.500
Sr  0.500  0.000  0.500
Pu  0.500  0.500  0.500
O  0.222  0.643  0.289
O  0.357  0.778  0.711
O  0.363  0.363  0.700
O  0.637  0.637  0.300
O  0.643  0.222  0.289
O  0.778  0.357  0.711
F  0.169  0.169  0.234
F  0.831  0.831  0.766


(5)
ReTeSe: optimized geometry, PBE.

## Properties
* formation energy from raw total energies: 83 meV/atom
* calculated density: 6.29 g/cm³
* size of the total moment: 0.000 μB/cell

Cell: 5.719 5.861 6.188 Å, 90.20 90.73 90.40°
Fractional positions:
Re  0.246  0.000  0.499
Re  0.754  0.000  0.501
Te  0.495  0.819  0.202
Te  0.505  0.181  0.798
Se  0.001  0.719  0.655
Se  0.999  0.281  0.345


(6)
RbSn3: optimized geometry, PBE.

## Properties
* formation enthalpy at 0 K: -0.137 eV per atom
* calculated density: 5.02 g/cm³
* size of the total moment: 0.000 μB/cell

Cell: 7.840 7.840 5.487 Å, 90.00 90.00 120.00°
Fractional positions:
Rb  0.333  0.667  0.250
Rb  0.667  0.333  0.750
Sn  0.130  0.261  0.750
Sn  0.130  0.870  0.750
Sn  0.261  0.130  0.250
Sn  0.739  0.870  0.750
Sn  0.870  0.130  0.250
Sn  0.870  0.739  0.250


(7)
Cr3CdAs: optimized geometry, PBE.

## Properties
* formation enthalpy at 0 K: 0.734 eV per atom
* calculated density: 5.83 g/cm³
* size of the total moment: 9.030 μB/cell

Cell: 4.607 4.607 4.607 Å, 90.00 90.00 90.00°
Fractional positions:
Cr  0.000  0.000  0.500
Cr  0.000  0.500  0.000
Cr  0.500  0.000  0.000
Cd  0.500  0.500  0.500
As  0.000  0.000  0.000


(8)
BeVS3: optimized geometry, PBE.

## Properties
* formation energy from raw total energies: 240 meV/atom
* calculated density: 3.29 g/cm³
* size of the total moment: 2.411 μB/cell

Cell: 4.287 4.287 4.287 Å, 90.00 90.00 90.00°
Fractional positions:
Be  0.000  0.000  0.000
V  0.500  0.500  0.500
S  0.000  0.000  0.500
S  0.000  0.500  0.000
S  0.500  0.000  0.000


- The highest calculated density belongs to which entry?
  HfTiBePb2


- What is the size of the total moment in the fifth record?
  0.000 μB/cell